(1)
First-principles (PBE) data for crystalline Be5Pt4Rh at its relaxed geometry, as listed in Alexandria via LeMat-Bulk.

a = 2.834 Å, b = 2.834 Å, c = 14.144 Å
α = 90.00°, β = 90.00°, γ = 90.00°
Fractional positions:
Be  0.000  0.000  0.000
Be  0.000  0.000  0.205
Be  0.000  0.000  0.411
Be  0.000  0.000  0.589
Be  0.000  0.000  0.795
Pt  0.500  0.500  0.101
Pt  0.500  0.500  0.302
Pt  0.500  0.500  0.698
Pt  0.500  0.500  0.899
Rh  0.500  0.500  0.500

space group	P4/mmm, No. 123
size of the total moment	0.000	μB per atom
ΔH_f (0 K)	-0.77	eV per atom
N(E_F)	1.1	states/eV/f.u.

(2)
First-principles (PBE) data for crystalline Na2SmCoH8 at its relaxed geometry, as listed in Alexandria via LeMat-Bulk.

a = 4.690 Å, b = 4.690 Å, c = 5.985 Å
α = 90.00°, β = 90.00°, γ = 120.00°
Fractional positions:
Na  0.333  0.667  0.372
Na  0.667  0.333  0.628
Sm  0.000  0.000  0.000
Co  0.000  0.000  0.500
H  0.150  0.301  0.657
H  0.150  0.850  0.657
H  0.301  0.150  0.343
H  0.333  0.667  0.004
H  0.667  0.333  0.996
H  0.699  0.850  0.657
H  0.850  0.150  0.343
H  0.850  0.699  0.343

space group	P-3m1, No. 164
size of the total moment	0.000	μB per atom
total energy	-0.27329	Ry per atom